[1]
A plane-wave DFT calculation with PBE was carried out for NaSrPbBr6 after structural relaxation.

Computed properties:
Its crystal system is trigonal. Its raw total energy is -3.11 eV per atom. The formation energy without anion corrections comes out at -1253 meV per atom.

Geometry as extended XYZ:
```
9
Lattice="7.5095 0.0000 0.0000 -3.7547 6.5034 0.0000 0.0000 0.0000 6.5142" Properties=species:S:1:pos:R:3 pbc="T T T"
Na 0.0000 0.0000 0.0000
Sr 3.7547 2.1678 0.0000
Pb 0.0000 4.3356 3.2571
Br -1.1898 2.1719 1.6892
Br -2.4687 4.3870 4.8250
Br 1.1898 2.1719 4.8250
Br -1.2789 6.4478 1.6892
Br 2.4687 4.3870 1.6892
Br 1.2789 6.4478 4.8250
```



[2]
A plane-wave DFT calculation with PBE was carried out for NaTcPb2Br after structural relaxation.

Computed properties:
Its crystal system is tetragonal. Its raw total energy is -3.91 eV per atom. The formation energy without anion corrections comes out at 247 meV per atom.

Geometry as extended XYZ:
```
5
Lattice="5.2576 0.0000 0.0000 0.0000 5.2576 0.0000 0.0000 0.0000 5.6751" Properties=species:S:1:pos:R:3 pbc="T T T"
Na 0.0000 0.0000 0.0000
Tc 2.6288 2.6288 2.8375
Pb 0.0000 2.6288 2.8375
Pb 2.6288 0.0000 2.8375
Br 2.6288 2.6288 0.0000
```



[3]
A plane-wave DFT calculation with PBE was carried out for NaTlPb2Br6 after structural relaxation.

Computed properties:
Its crystal system is triclinic. Its raw total energy is -3.14 eV per atom. The formation energy without anion corrections comes out at -1027 meV per atom.

Geometry as extended XYZ:
```
10
Lattice="7.8595 0.0000 0.0000 -3.9286 6.8150 0.0000 -3.9297 -2.2700 6.9745" Properties=species:S:1:pos:R:3 pbc="T T T"
Na 0.0000 0.0000 0.0000
Tl 3.9286 2.2709 3.2538
Pb 0.0005 4.5398 0.5230
Pb 0.0010 -0.0020 4.1454
Br -2.6509 0.1550 5.6511
Br -0.8684 2.1004 2.0795
Br 2.2569 -0.2998 2.0788
Br -2.7395 4.4355 5.6519
Br 1.4587 2.2188 5.6542
Br 2.5469 5.0091 2.0799
```



[4]
A plane-wave DFT calculation with PBE was carried out for NaTlPbBr4 after structural relaxation.

Computed properties:
Its crystal system is monoclinic. Its raw total energy is -3.04 eV per atom. The formation energy without anion corrections comes out at -1029 meV per atom.

Geometry as extended XYZ:
```
14
Lattice="8.0876 0.0000 0.0000 0.0000 8.2022 0.0000 -2.2913 0.0000 8.4636" Properties=species:S:1:pos:R:3 pbc="T T T"
Na 1.3105 2.0505 1.4589
Na 4.4858 6.1516 7.0046
Tl 1.4871 6.1516 3.8620
Tl 4.3092 2.0505 4.6016
Pb 0.3817 6.1516 8.1108
Pb 5.4146 2.0505 0.3527
Br 0.0506 6.1516 1.0071
Br -1.1669 6.1516 5.6019
Br 3.3744 0.0676 1.8683
Br 3.3744 4.0335 1.8683
Br 2.4220 4.1687 6.5953
Br 2.4220 8.1346 6.5953
Br 6.9633 2.0505 2.8616
Br 5.7458 2.0505 7.4564
```



[5]
A plane-wave DFT calculation with PBE was carried out for Na3Tl2PbBr8 after structural relaxation.

Computed properties:
Its crystal system is trigonal. Its raw total energy is -2.90 eV per atom. The formation energy without anion corrections comes out at -1060 meV per atom.

Geometry as extended XYZ:
```
14
Lattice="4.5433 2.6231 7.2170 -4.5433 2.6231 7.2170 0.0000 -5.2462 7.2170" Properties=species:S:1:pos:R:3 pbc="T T T"
Na -2.2419 -1.2943 7.2170
Na 2.2419 -1.2943 7.2170
Na 0.0000 2.5887 7.2170
Tl 0.0000 0.0000 10.9114
Tl 0.0000 0.0000 18.9526
Pb 0.0000 0.0000 2.6426
Br 0.0000 -2.5100 8.8398
Br -2.1737 1.2550 8.8398
Br 0.0000 0.0000 5.6058
Br -2.2282 -1.2864 12.8734
Br 2.1737 1.2550 8.8398
Br 0.0000 0.0000 16.0003
Br 2.2282 -1.2864 12.8734
Br 0.0000 2.5729 12.8734
```



[6]
A plane-wave DFT calculation with PBE was carried out for Na2Tl3PbBr6 after structural relaxation.

Computed properties:
Its crystal system is monoclinic. Its raw total energy is -2.92 eV per atom. The formation energy without anion corrections comes out at -967 meV per atom.

Geometry as extended XYZ:
```
12
Lattice="3.7041 -6.4546 0.0000 3.7041 6.4546 0.0000 -2.5379 0.0000 8.3869" Properties=species:S:1:pos:R:3 pbc="T T T"
Na 3.7041 4.2999 0.0000
Na 3.7041 -4.2999 0.0000
Tl -1.2690 0.0000 4.1934
Tl 2.4351 2.1191 4.1934
Tl 2.4351 -2.1191 4.1934
Pb 3.7041 0.0000 0.0000
Br -0.0732 2.1821 6.6177
Br 1.1898 0.0000 1.7430
Br -0.0732 -2.1821 6.6177
Br 4.9434 2.1821 1.7691
Br 3.6804 0.0000 6.6439
Br 4.9434 -2.1821 1.7691
```



[7]
A plane-wave DFT calculation with PBE was carried out for Na2TlPbBr6 after structural relaxation.

Computed properties:
Its crystal system is trigonal. Its raw total energy is -2.92 eV per atom. The formation energy without anion corrections comes out at -1041 meV per atom.

Geometry as extended XYZ:
```
10
Lattice="3.7925 2.1896 6.9064 -3.7925 2.1896 6.9064 0.0000 -4.3792 6.9064" Properties=species:S:1:pos:R:3 pbc="T T T"
Na 0.0000 0.0000 0.0000
Na 0.0000 0.0000 10.3080
Tl 0.0000 0.0000 4.0237
Pb 0.0000 0.0000 14.3510
Br -2.6263 0.1712 8.9016
Br -1.1788 -2.0009 12.3537
Br 1.1649 -2.3601 8.9016
Br -1.1434 2.0213 12.3537
Br 1.4614 2.1888 8.9016
Br 2.3222 -0.0205 12.3537
```



[8]
A plane-wave DFT calculation with PBE was carried out for NaTl2PbBr5 after structural relaxation.

Computed properties:
Its crystal system is orthorhombic. Its raw total energy is -3.04 eV per atom. The formation energy without anion corrections comes out at -1026 meV per atom.

Geometry as extended XYZ:
```
18
Lattice="2.2577 -9.5427 0.0000 2.2577 9.5427 0.0000 0.0000 0.0000 15.0108" Properties=species:S:1:pos:R:3 pbc="T T T"
Na 2.2577 8.7238 7.5054
Na 2.2577 -8.7238 0.0000
Tl 2.2577 2.4548 5.2612
Tl 2.2577 1.6437 10.6406
Tl 2.2577 -1.6437 3.1352
Tl 2.2577 -2.4548 12.7666
Pb 2.2577 4.2842 1.2056
Pb 2.2577 -4.2842 8.7110
Br 2.2577 9.4998 12.3289
Br 2.2577 7.3126 0.6011
Br 2.2577 5.7606 6.7172
Br 2.2577 5.0992 10.8562
Br 2.2577 1.3064 1.6642
Br 2.2577 -1.3064 9.1696
Br 2.2577 -5.0992 3.3508
Br 2.2577 -5.7606 14.2226
Br 2.2577 -7.3126 8.1065
Br 2.2577 -9.4998 4.8234
```



[9]
A plane-wave DFT calculation with PBE was carried out for NaTmPb2Br8 after structural relaxation.

Computed properties:
Its crystal system is monoclinic. Its raw total energy is -3.54 eV per atom. The formation energy without anion corrections comes out at -1320 meV per atom.

Geometry as extended XYZ:
```
12
Lattice="6.7717 0.0000 0.0000 0.0000 8.8737 0.0000 -0.0805 0.0000 7.1319" Properties=species:S:1:pos:R:3 pbc="T T T"
Na 0.0000 0.0000 0.0000
Tm 0.0000 4.4368 0.0000
Pb 3.3456 2.1932 3.5659
Pb 3.3456 6.6805 3.5659
Br 1.5476 2.3878 1.0644
Br 1.5476 6.4859 1.0644
Br 1.5166 4.4368 4.8390
Br 1.7283 0.0000 4.7032
Br 4.9629 0.0000 2.4286
Br 5.1746 4.4368 2.2928
Br 5.1436 2.3878 6.0675
Br 5.1436 6.4859 6.0675
```



[10]
A plane-wave DFT calculation with PBE was carried out for Na2UPbBr8 after structural relaxation.

Computed properties:
Its crystal system is triclinic. Its raw total energy is -3.85 eV per atom. The formation energy without anion corrections comes out at -1269 meV per atom.

Geometry as extended XYZ:
```
12
Lattice="6.8587 0.0000 0.0000 0.4621 7.1442 0.0000 0.0179 0.0045 8.9561" Properties=species:S:1:pos:R:3 pbc="T T T"
Na 0.0194 0.0157 2.1474
Na 7.3193 7.1329 6.8086
U 3.6693 3.5743 4.4780
Pb 3.6604 3.5721 0.0000
Br 1.9747 5.9758 8.9515
Br 2.0360 5.8330 4.4746
Br 2.0912 2.4504 6.5004
Br 2.0885 2.4409 2.4526
Br 5.2502 4.7077 6.5035
Br 5.2475 4.6982 2.4557
Br 5.3027 1.3157 4.4814
Br 5.3640 1.1729 0.0045
```



[11]
A plane-wave DFT calculation with PBE was carried out for Na2PbWBr after structural relaxation.

Computed properties:
Its crystal system is tetragonal. Its raw total energy is -2.85 eV per atom. The formation energy without anion corrections comes out at 1345 meV per atom.

Geometry as extended XYZ:
```
5
Lattice="6.0360 0.0000 0.0000 0.0000 6.0360 0.0000 0.0000 0.0000 5.7878" Properties=species:S:1:pos:R:3 pbc="T T T"
Na 0.0000 3.0180 0.0000
Na 3.0180 0.0000 0.0000
Pb 0.0000 0.0000 0.0000
W 3.0180 3.0180 2.8939
Br 0.0000 0.0000 2.8939
```



[12]
A plane-wave DFT calculation with PBE was carried out for NaYPb2Br8 after structural relaxation.

Computed properties:
Its crystal system is monoclinic. Its raw total energy is -3.71 eV per atom. The formation energy without anion corrections comes out at -1327 meV per atom.

Geometry as extended XYZ:
```
12
Lattice="6.7968 0.0000 0.0000 0.0000 8.9201 0.0000 -0.0758 0.0000 7.1517" Properties=species:S:1:pos:R:3 pbc="T T T"
Na 0.0000 0.0000 0.0000
Y 0.0000 4.4601 0.0000
Pb 3.3605 2.1877 3.5759
Pb 3.3605 6.7324 3.5759
Br 1.5586 2.3715 1.0784
Br 1.5586 6.5487 1.0784
Br 1.5540 4.4601 4.8322
Br 1.7380 0.0000 4.7206
Br 4.9829 0.0000 2.4312
Br 5.1669 4.4601 2.3196
Br 5.1624 2.3715 6.0734
Br 5.1624 6.5487 6.0734
```



[13]
A plane-wave DFT calculation with PBE was carried out for Na2YPbBr after structural relaxation.

Computed properties:
Its crystal system is tetragonal. Its raw total energy is -2.65 eV per atom. The formation energy without anion corrections comes out at 250 meV per atom.

Geometry as extended XYZ:
```
5
Lattice="6.5023 0.0000 0.0000 0.0000 6.5023 0.0000 0.0000 0.0000 5.2709" Properties=species:S:1:pos:R:3 pbc="T T T"
Na 0.0000 3.2512 0.0000
Na 3.2512 0.0000 0.0000
Y 0.0000 0.0000 0.0000
Pb 3.2512 3.2512 2.6355
Br 0.0000 0.0000 2.6355
```



[14]
A plane-wave DFT calculation with PBE was carried out for Na2YPbBr after structural relaxation.

Computed properties:
Its crystal system is tetragonal. Its raw total energy is -2.56 eV per atom. The formation energy without anion corrections comes out at 337 meV per atom.

Geometry as extended XYZ:
```
5
Lattice="5.8032 0.0000 0.0000 0.0000 5.8032 0.0000 0.0000 0.0000 5.9890" Properties=species:S:1:pos:R:3 pbc="T T T"
Na 0.0000 2.9016 0.0000
Na 2.9016 0.0000 0.0000
Y 0.0000 0.0000 2.9945
Pb 2.9016 2.9016 0.0000
Br 2.9016 2.9016 2.9945
```



[15]
A plane-wave DFT calculation with PBE was carried out for Na2ZnPbBr6 after structural relaxation.

Computed properties:
Its crystal system is triclinic. Its raw total energy is -2.87 eV per atom. The formation energy without anion corrections comes out at -1101 meV per atom.

Geometry as extended XYZ:
```
10
Lattice="7.3465 0.0000 0.0000 3.6670 6.3660 0.0000 3.6700 -2.1139 6.5800" Properties=species:S:1:pos:R:3 pbc="T T T"
Na 0.0000 0.0000 0.0000
Na 3.6667 2.1256 3.1730
Zn 7.3428 4.2429 2.5681
Pb 7.3439 0.0078 5.8241
Br 6.3283 2.3869 4.3787
Br 5.0952 4.0813 1.2981
Br 9.4590 4.3050 4.3768
Br 4.6526 -0.0914 1.2999
Br 8.6083 2.3808 1.2976
Br 9.9068 -0.3064 4.3802
```



[16]
A plane-wave DFT calculation with PBE was carried out for Na2ZrPbBr8 after structural relaxation.

Computed properties:
Its crystal system is monoclinic. Its raw total energy is -3.65 eV per atom. The formation energy without anion corrections comes out at -1290 meV per atom.

Geometry as extended XYZ:
```
12
Lattice="6.7600 0.0000 0.0000 0.0000 8.7677 0.0000 -0.4568 0.0000 7.0883" Properties=species:S:1:pos:R:3 pbc="T T T"
Na 0.0000 2.1569 0.0000
Na 0.0000 6.6108 0.0000
Zr 3.1516 4.3838 3.5441
Pb 3.1516 0.0000 3.5441
Br 1.5010 0.0000 1.1209
Br 1.6372 4.3838 1.3601
Br 1.6061 2.4933 4.6075
Br 1.6061 6.2743 4.6075
Br 4.6971 2.4933 2.4808
Br 4.6971 6.2743 2.4808
Br 4.6660 4.3838 5.7282
Br 4.8022 0.0000 5.9674
```



[17]
A plane-wave DFT calculation with PBE was carried out for Na2PdBr4 after structural relaxation.

Computed properties:
Its crystal system is tetragonal. Its raw total energy is -3.09 eV per atom. The formation energy without anion corrections comes out at -1018 meV per atom.

Geometry as extended XYZ:
```
28
Lattice="10.2065 0.0000 0.0000 0.0000 10.2065 0.0000 0.0000 0.0000 8.1508" Properties=species:S:1:pos:R:3 pbc="T T T"
Na 0.5252 5.6284 2.0377
Na 0.5252 9.6813 6.1131
Na 4.5781 5.6284 6.1131
Na 4.5781 9.6813 2.0377
Na 5.6284 0.5252 6.1131
Na 5.6284 4.5781 2.0377
Na 9.6813 0.5252 2.0377
Na 9.6813 4.5781 6.1131
Pd 2.5516 2.5516 0.5134
Pd 2.5516 2.5516 4.5888
Pd 7.6549 7.6549 3.5620
Pd 7.6549 7.6549 7.6374
Br 0.1284 2.0203 4.6166
Br 0.1284 3.0830 0.5412
Br 2.0203 0.1284 0.5412
Br 2.0203 4.9749 4.6166
Br 3.0830 0.1284 4.6166
Br 3.0830 4.9749 0.5412
Br 4.9749 2.0203 0.5412
Br 4.9749 3.0830 4.6166
Br 5.2316 7.1235 3.5342
Br 5.2316 8.1862 7.6096
Br 7.1235 5.2316 7.6096
Br 7.1235 10.0781 3.5342
Br 8.1862 5.2316 3.5342
Br 8.1862 10.0781 7.6096
Br 10.0781 7.1235 7.6096
Br 10.0781 8.1862 3.5342
```



[18]
A plane-wave DFT calculation with PBE was carried out for NaPdBr after structural relaxation.

Computed properties:
Its crystal system is orthorhombic. Its raw total energy is -3.12 eV per atom. The formation energy without anion corrections comes out at -396 meV per atom.

Geometry as extended XYZ:
```
12
Lattice="5.7124 0.0000 0.0000 0.0000 7.1506 0.0000 0.0000 0.0000 6.6249" Properties=species:S:1:pos:R:3 pbc="T T T"
Na 0.4856 1.7876 0.8467
Na 2.3706 5.3629 4.1591
Na 3.3417 1.7876 2.4658
Na 5.2268 5.3629 5.7782
Pd 1.3330 5.3629 1.4351
Pd 1.5232 1.7876 4.7476
Pd 4.1892 5.3629 1.8773
Pd 4.3794 1.7876 5.1898
Br 0.0000 0.0000 3.3124
Br 0.0000 3.5753 3.3124
Br 2.8562 0.0000 0.0000
Br 2.8562 3.5753 0.0000
```



[19]
A plane-wave DFT calculation with PBE was carried out for Na4PdBr5 after structural relaxation.

Computed properties:
Its crystal system is tetragonal. Its raw total energy is -3.07 eV per atom. The formation energy without anion corrections comes out at -1189 meV per atom.

Geometry as extended XYZ:
```
10
Lattice="-4.6922 4.6922 2.9596 4.6922 -4.6922 2.9596 4.6922 4.6922 -2.9596" Properties=species:S:1:pos:R:3 pbc="T T T"
Na 2.7809 0.9309 0.0000
Na 3.7613 -1.9113 2.9596
Na 0.9309 6.6035 0.0000
Na 1.9113 3.7613 2.9596
Pd 0.0000 0.0000 2.9596
Br 0.0000 0.0000 0.0000
Br 5.5507 1.9923 0.0000
Br 1.9923 3.8337 0.0000
Br 2.6999 0.8585 2.9596
Br -0.8585 2.6999 2.9596
```



[20]
A plane-wave DFT calculation with PBE was carried out for NaPdBr2 after structural relaxation.

Computed properties:
Its crystal system is trigonal. Its raw total energy is -3.01 eV per atom. The formation energy without anion corrections comes out at -549 meV per atom.

Geometry as extended XYZ:
```
4
Lattice="2.1412 1.2362 8.0803 -2.1412 1.2362 8.0803 0.0000 -2.4725 8.0803" Properties=species:S:1:pos:R:3 pbc="T T T"
Na 0.0000 0.0000 0.0000
Pd 0.0000 0.0000 12.1205
Br 0.0000 0.0000 9.6855
Br 0.0000 0.0000 14.5555
```



[21]
A plane-wave DFT calculation with PBE was carried out for Na2PdBr4 after structural relaxation.

Computed properties:
Its crystal system is tetragonal. Its raw total energy is -3.07 eV per atom. The formation energy without anion corrections comes out at -992 meV per atom.

Geometry as extended XYZ:
```
7
Lattice="-3.6193 3.6193 3.9725 3.6193 -3.6193 3.9725 3.6193 3.6193 -3.9725" Properties=species:S:1:pos:R:3 pbc="T T T"
Na 3.6193 0.0000 1.9862
Na 0.0000 3.6193 1.9862
Pd 0.0000 0.0000 0.0000
Br 1.7404 1.7404 0.0000
Br 1.8789 -1.8789 3.9725
Br -1.8789 1.8789 3.9725
Br 1.8789 1.8789 3.9725
```



[22]
A plane-wave DFT calculation with PBE was carried out for NaPdBr after structural relaxation.

Computed properties:
Its crystal system is monoclinic. Its raw total energy is -3.33 eV per atom. The formation energy without anion corrections comes out at -601 meV per atom.

Geometry as extended XYZ:
```
6
Lattice="5.3540 -1.8931 0.0000 5.3540 1.8931 0.0000 -4.9306 0.0000 7.3336" Properties=species:S:1:pos:R:3 pbc="T T T"
Na -0.9356 0.0000 1.8817
Na 6.7129 0.0000 5.4519
Pd 2.2094 0.0000 0.7929
Pd 3.5679 0.0000 6.5406
Br -0.9077 0.0000 4.9814
Br 6.6850 0.0000 2.3522
```